Computed, not measured: a relaxed KGeB crystal at the PBE level of DFT.

a = 3.6750 Å, b = 3.6750 Å, c = 34.6527 Å
α = 90.00°, β = 90.00°, γ = 120.00°
Space group R-3m (No. 166, hexagonal axes)
One atom of each set of equivalent atoms:
K: 0.0000 0.0000 0.1069 (multiplicity 6)
Ge: 0.0000 0.0000 0.3010 (multiplicity 6)
B: 0.0000 0.0000 0.3705 (multiplicity 6)

Summary:
E_form   0.35 eV/atom
Total magnetic moment   0.00 μB per cell
DOS at the Fermi energy   5.06 states/eV per cell
Crystal system   trigonal
Calculated density   3.01 g/cm³